NaAlV2O8 PBE+U relaxed; final energy = -0.479 Ry per atom
1.0
-3.3769 3.3769 3.1223
3.3769 -3.3769 3.1223
3.3769 3.3769 -3.1223
Na Al V O
1 1 2 8
Cartesian
0.0000 0.0000 0.0000 Na
0.0000 3.3769 1.5612 Al
3.3769 0.0000 1.5612 V
0.0000 0.0000 3.1223 V
2.0929 0.0000 0.4089 O
4.6610 0.0000 0.4089 O
3.3769 1.8919 -0.9552 O
3.3769 -1.2841 2.7134 O
0.0000 1.4850 2.1671 O
3.3769 1.2841 2.7134 O
1.8919 3.3769 0.9552 O
1.4850 0.0000 4.0776 O